A plane-wave DFT calculation with PBEsol was carried out for Sr2ZnMo after structural relaxation.

D(E_F), states/eV/cell: 4.0
Energy relative to the elements, eV/atom: 0.924
Final energy, eV for the cell shown: -13.34
Magnetic moment, Bohr magnetons per cell: 0.0

Cell: 3.3429 3.3429 10.5799 Å, 80.91 80.91 60.00°
Closest atoms and distances in Å follow each position.
Element x y z (fractional)
Mo (0.0000, 0.0000, 0.0000)  6 Sr 3.18, 6 Mo 3.34
Sr (0.2523, 0.2523, 0.2432)  3 Mo 3.18, 3 Zn 3.30, 6 Sr 3.34
Sr (0.7477, 0.7477, 0.7568)  3 Mo 3.18, 3 Zn 3.30, 6 Sr 3.34
Zn (0.5000, 0.5000, 0.5000)  6 Sr 3.30, 6 Zn 3.34

***

A plane-wave DFT calculation with PBEsol was carried out for CoAuSe after structural relaxation.

D(E_F), states/eV/cell: 1.5
Distance to the lowest polymorph of the same formula, eV/atom: 0.000
Final energy, eV for the cell shown: -15.25
Magnetic moment, Bohr magnetons per cell: 0.0

Cell: 2.8453 2.8453 6.1397 Å, 103.40 103.40 90.00°
Closest atoms and distances in Å follow each position.
Element x y z (fractional)
Au (0.9774, 0.9774, 0.9548)  4 Co 2.76, 4 Au 2.85
Co (0.3141, 0.3141, 0.6282)  4 Se 2.36
Se (0.7085, 0.7085, 0.4170)  4 Co 2.36

***

A plane-wave DFT calculation with PBEsol was carried out for SiNi2Os after structural relaxation.

D(E_F), states/eV/cell: 2.7
Final energy, eV for the cell shown: -30.84
Magnetic moment, Bohr magnetons per cell: 0.0

Cell: 2.6163 2.6163 6.6961 Å, 90.00 90.00 89.97°
Closest atoms and distances in Å follow each position.
Element x y z (fractional)
Ni (0.0000, 0.0000, 0.2224)  4 Si 2.37-2.38, 4 Ni 2.62, 4 Os 2.62
Ni (0.0000, 0.0000, 0.7776)  4 Si 2.37-2.38, 4 Ni 2.62, 4 Os 2.62
Os (0.5000, 0.5000, 0.5000)  4 Os 2.62, 8 Ni 2.62
Si (0.5000, 0.5000, 0.0000)  8 Ni 2.37-2.38, 4 Si 2.62

***

A plane-wave DFT calculation with PBEsol was carried out for NaNb2TcAg after structural relaxation.

D(E_F), states/eV/cell: 4.6
Energy relative to the elements, eV/atom: 1.297
Final energy, eV for the cell shown: -31.13
Magnetic moment, Bohr magnetons per cell: 0.0

Cell: 4.6708 4.6708 5.2483 Å, 90.00 90.00 90.00°
Closest atoms and distances in Å follow each position.
Element x y z (fractional)
Na (0.0000, 0.0000, 0.5000)  2 Tc 2.62
Nb (0.0000, 0.5000, 0.0000)  2 Tc 2.34
Nb (0.5000, 0.0000, 0.0000)  2 Tc 2.34
Tc (0.0000, 0.0000, 0.0000)  4 Nb 2.34
Ag (0.5000, 0.5000, 0.5000)  4 Na 3.30, 8 Nb 3.51

***

A plane-wave DFT calculation with PBEsol was carried out for MnCd2Ru after structural relaxation.

D(E_F), states/eV/cell: 2.1
Energy relative to the elements, eV/atom: 0.320
Distance to the lowest polymorph of the same formula, eV/atom: 0.154
Final energy, eV for the cell shown: -21.05
Magnetic moment, Bohr magnetons per cell: 4.3

Cell: 3.9530 3.9530 4.9776 Å, 113.40 113.40 90.00°
Closest atoms and distances in Å follow each position.
Element x y z (fractional)
Cd (0.7500, 0.2500, 0.5000)  4 Cd 2.80, 4 Mn 2.85, 4 Ru 2.85
Cd (0.2500, 0.7500, 0.5000)  4 Cd 2.80, 4 Mn 2.85, 4 Ru 2.85
Mn (0.0000, 0.0000, 0.0000)  4 Ru 2.80, 8 Cd 2.85
Ru (0.5000, 0.5000, 0.0000)  4 Mn 2.80, 8 Cd 2.85

***

A plane-wave DFT calculation with PBEsol was carried out for Eu2TlIn after structural relaxation.

D(E_F), states/eV/cell: 16.9
Energy relative to the elements, eV/atom: -0.497
Final energy, eV for the cell shown: -28.73
Magnetic moment, Bohr magnetons per cell: 14.1

Cell: 5.4770 5.4770 5.4770 Å, 60.00 60.00 60.00°
Closest atoms and distances in Å follow each position.
Element x y z (fractional)
Eu (0.7500, 0.7500, 0.7500)  4 In 3.35, 4 Tl 3.35
Eu (0.2500, 0.2500, 0.2500)  4 Tl 3.35, 4 In 3.35
Tl (0.0000, 0.0000, 0.0000)  8 Eu 3.35
In (0.5000, 0.5000, 0.5000)  8 Eu 3.35

***

A plane-wave DFT calculation with PBEsol was carried out for RePRh after structural relaxation.

D(E_F), states/eV/cell: 2.9
Energy relative to the elements, eV/atom: 0.193
Final energy, eV for the cell shown: -26.68
Magnetic moment, Bohr magnetons per cell: 0.0

Cell: 2.7924 2.7924 6.0687 Å, 97.48 97.48 115.75°
Closest atoms and distances in Å follow each position.
Element x y z (fractional)
P (0.9984, 0.9984, 0.9968)  2 Rh 2.29, 2 Re 2.33
Re (0.6515, 0.6515, 0.3030)  2 P 2.33
Rh (0.3501, 0.3501, 0.7002)  2 P 2.29

***

A plane-wave DFT calculation with PBEsol was carried out for Mg3Sc after structural relaxation.

D(E_F), states/eV/cell: 2.8
Energy relative to the elements, eV/atom: 0.012
Final energy, eV for the cell shown: -11.71
Magnetic moment, Bohr magnetons per cell: 0.0

Cell: 3.1521 5.4996 5.5859 Å, 100.52 90.00 106.65°
Closest atoms and distances in Å follow each position.
Element x y z (fractional)
Sc (0.0000, 0.0000, 0.0000)  2 Sc 3.15, 10 Mg 3.18-3.21
Mg (0.5000, 0.0000, 0.5000)  8 Mg 3.13-3.24, 4 Sc 3.21
Mg (0.2467, 0.4933, 0.7491)  9 Mg 3.13-3.24, 3 Sc 3.18-3.19
Mg (0.7533, 0.5067, 0.2509)  9 Mg 3.13-3.24, 3 Sc 3.18-3.19